Entry 1:
Here is an optimized crystal structure of AlPbSe2 from Alexandria. Energies are from PBE-GGA.

Structure (POSCAR):
```
AlPbSe2
1.0
-3.6812 3.6812 3.9484
3.6812 -3.6812 3.9484
3.6812 3.6812 -3.9484
Al Pb Se
2 2 4
direct
0.0000 0.0000 0.0000
0.7500 0.2500 0.5000
0.2500 0.7500 0.5000
0.5000 0.5000 0.0000
0.0469 0.6250 0.9219
0.3750 0.2969 0.4219
0.7031 0.1250 0.0781
0.8750 0.9531 0.5781
```

Calculated values
**ΔE_f (raw)**: -0.444 eV/atom
**Total energy**: -4.049 eV/atom

Entry 2:
Here is an optimized crystal structure of TbPr3Tm7 from Alexandria. Energies are from PBE-GGA.

Structure (POSCAR):
```
TbPr3Tm7
1.0
7.0239 0.0000 0.0000
-3.5119 6.0828 0.0000
0.0000 0.0000 8.6640
Tb Pr Tm
1 3 7
direct
0.0000 0.0000 0.0000
0.3336 0.1668 0.6596
0.8332 0.1668 0.6596
0.8332 0.6664 0.6596
0.1662 0.3324 0.3208
0.1662 0.8338 0.3208
0.5006 0.0012 0.0000
0.5006 0.4994 0.0000
0.6667 0.3333 0.3196
0.6676 0.8338 0.3208
0.9988 0.4994 0.0000
```

Calculated values
**Distance to the lowest polymorph of the same formula**: 0.052 eV per atom
**E_form**: 0.18 eV/atom
**Total energy**: -4.394 eV/atom